Entry 1:
Density functional theory data (PBE) for an optimized crystal structure of CdGaIO2.

a b c (Å): 4.2932 4.2932 6.5564
angles (deg): 90.00 90.00 90.00
Last column: magnetic moment on the atom in μB.
Fractional positions:
I 0.0000 0.0000 0.5000  0.01
O 0.0000 0.5000 0.0000  0.53
O 0.5000 0.0000 0.0000  0.53
Ga 0.5000 0.5000 0.5000  0.01
Cd 0.0000 0.0000 0.0000  0.00

Calculated values
As for the space group: P4/mmm, No. 123. As for the density of states at the Fermi level: 0.979 states/eV/atom. The total energy comes out at -3.03 eV/atom. The calculation puts the energy above the most stable polymorph in this dataset at 459.5 meV per atom.

Entry 2:
Density functional theory data (PBE) for an optimized crystal structure of NaAlCu2F8.

a b c (Å): 5.3086 5.3086 6.7080
angles (deg): 90.00 90.00 120.00
Last column: magnetic moment on the atom in μB.
Fractional positions:
Na 0.0000 0.0000 0.0000  0.00
Al 0.0000 0.0000 0.5000  0.00
Cu 0.6667 0.3333 0.2914  0.68
Cu 0.3333 0.6667 0.7086  0.68
F 0.3333 0.6667 0.9773  0.20
F 0.2728 0.2820 0.3407  0.02
F 0.7180 0.9908 0.3407  0.02
F 0.6667 0.3333 0.0227  0.20
F 0.2820 0.0092 0.6593  0.02
F 0.7272 0.7180 0.6593  0.02
F 0.9908 0.2728 0.6593  0.02
F 0.0092 0.7272 0.3407  0.02

Calculated values
As for the space group: P-3, No. 147. As for the density of states at the Fermi level: 0.614 states/eV/atom. The total energy comes out at -4.58 eV/atom.

Entry 3:
Density functional theory data (PBE) for an optimized crystal structure of Sr4TaFe.

a b c (Å): 6.7997 6.7997 6.7997
angles (deg): 60.00 60.00 60.00
Last column: magnetic moment on the atom in μB.
Fractional positions:
Sr 0.3753 0.8741 0.3753  0.08
Sr 0.8741 0.3753 0.3753  0.08
Sr 0.3753 0.3753 0.8741  0.08
Sr 0.3753 0.3753 0.3753  0.08
Ta 0.7500 0.7500 0.7500  2.03
Fe 0.0000 0.0000 0.0000  3.26

Calculated values
As for the space group: F-43m, No. 216. Its energy of formation is 9.1 eV per formula unit. As for the density of states at the Fermi level: 2.032 states/eV/atom. The total energy comes out at -2.99 eV/atom.

Entry 4:
Density functional theory data (PBE) for an optimized crystal structure of KLaCd2Co.

a b c (Å): 5.3534 5.3534 4.9018
angles (deg): 90.00 90.00 90.00
Fractional positions:
K 0.5000 0.5000 0.5000
Cd 0.0000 0.5000 0.0000
Cd 0.5000 0.0000 0.0000
Co 0.0000 0.0000 0.0000
La 0.0000 0.0000 0.5000

Calculated values
As for the space group: P4/mmm, No. 123. Its energy of formation is -0.4 eV per formula unit. As for the density of states at the Fermi level: 0.632 states/eV/atom. The total energy comes out at -3.07 eV/atom.

Entry 5:
Density functional theory data (PBE) for an optimized crystal structure of CaY2Ag3.

a b c (Å): 3.6475 3.6475 11.1184
angles (deg): 90.00 90.00 90.00
Fractional positions:
Ca 0.5000 0.5000 0.5000
Y 0.5000 0.5000 0.8342
Y 0.5000 0.5000 0.1658
Ag 0.0000 0.0000 0.0000
Ag 0.0000 0.0000 0.6791
Ag 0.0000 0.0000 0.3209

Calculated values
As for the space group: P4/mmm, No. 123. Its energy of formation is -2.0 eV per formula unit. As for the density of states at the Fermi level: 0.521 states/eV/atom. The total energy comes out at -4.24 eV/atom. The calculation puts the energy above the most stable polymorph in this dataset at 0.0 meV per atom.

Entry 6:
Density functional theory data (PBE) for an optimized crystal structure of PmDyI.

a b c (Å): 3.7145 3.7145 7.5240
angles (deg): 104.29 104.29 90.00
Fractional positions:
I 0.3301 0.3301 0.6602
Dy 0.6706 0.6706 0.3413
Pm 0.9993 0.9993 0.9985

Calculated values
As for the space group: I4mm, No. 107. As for the density of states at the Fermi level: 1.281 states/eV/atom. The total energy comes out at -4.07 eV/atom. The calculation puts the energy above the most stable polymorph in this dataset at 96.8 meV per atom.

Entry 7:
Density functional theory data (PBE) for an optimized crystal structure of AlZn3Se4.

a b c (Å): 5.8598 5.8598 7.1281
angles (deg): 114.27 114.27 90.00
Fractional positions:
Al 0.0000 0.0000 0.0000
Zn 0.5000 0.5000 0.0000
Zn 0.7500 0.2500 0.5000
Zn 0.2500 0.7500 0.5000
Se 0.3674 0.3674 0.2470
Se 0.8796 0.8796 0.2470
Se 0.1204 0.6326 0.7530
Se 0.6326 0.1204 0.7530

Calculated values
As for the space group: I-42m, No. 121. As for the density of states at the Fermi level: 0.349 states/eV/atom. The total energy comes out at -3.27 eV/atom. The calculation puts the energy above the most stable polymorph in this dataset at 0.0 meV per atom.

Entry 8:
Density functional theory data (PBE) for an optimized crystal structure of Li2Mg15Cd2.

a b c (Å): 7.8526 7.8526 7.8526
angles (deg): 80.00 80.00 80.00
Fractional positions:
Li 0.9134 0.9134 0.9134
Li 0.0866 0.0866 0.0866
Mg 0.0000 0.5000 0.0000
Mg 0.0000 0.0000 0.5000
Mg 0.5000 0.0000 0.0000
Mg 0.3297 0.0000 0.6703
Mg 0.6703 0.3297 0.0000
Mg 0.0000 0.6703 0.3297
Mg 0.3297 0.6703 0.0000
Mg 0.0000 0.3297 0.6703
Mg 0.6703 0.0000 0.3297
Mg 0.3339 0.8370 0.3339
Mg 0.3339 0.3339 0.8370
Mg 0.8370 0.3339 0.3339
Mg 0.6661 0.1630 0.6661
Mg 0.6661 0.6661 0.1630
Mg 0.1630 0.6661 0.6661
Cd 0.7285 0.7285 0.7285
Cd 0.2715 0.2715 0.2715

Calculated values
As for the space group: R-3m, No. 166. Its energy of formation is 1.8 eV per formula unit. As for the density of states at the Fermi level: 0.391 states/eV/atom. The total energy comes out at -1.46 eV/atom.

Entry 9:
Density functional theory data (PBE) for an optimized crystal structure of SrZrCo2.

a b c (Å): 6.8442 6.8442 6.8442
angles (deg): 148.90 146.74 46.17
Last column: magnetic moment on the atom in μB.
Fractional positions:
Co 0.9024 0.9024 0.0000  0.87
Co 0.7991 0.2991 0.5000  0.77
Sr 0.5282 0.5282 0.0000  -0.02
Zr 0.2703 0.7703 0.5000  -0.25

Calculated values
As for the space group: Imm2, No. 44. Its energy of formation is 1.0 eV per formula unit. As for the density of states at the Fermi level: 1.344 states/eV/atom. The total energy comes out at -5.87 eV/atom. The calculation puts the energy above the most stable polymorph in this dataset at 176.4 meV per atom.

Entry 10:
Density functional theory data (PBE) for an optimized crystal structure of TaSb2As.

a b c (Å): 6.4089 6.4089 7.7422
angles (deg): 65.55 65.55 90.00
Last column: magnetic moment on the atom in μB.
Fractional positions:
Sb 0.6337 0.1250 0.2500  -0.04
Sb 0.1163 0.6250 0.2500  -0.03
Sb 0.3750 0.3663 0.7500  -0.04
Sb 0.8750 0.8837 0.7500  -0.03
As 0.5000 0.5000 0.0000  0.15
As 0.2500 0.7500 0.5000  0.15
Ta 0.0000 0.0000 0.0000  1.02
Ta 0.7500 0.2500 0.5000  1.02

Calculated values
As for the space group: I-42d, No. 122. As for the density of states at the Fermi level: 0.401 states/eV/atom. The total energy comes out at -5.53 eV/atom.

Entry 11:
Density functional theory data (PBE) for an optimized crystal structure of LaPrGdMg.

a b c (Å): 5.6811 5.6811 5.6811
angles (deg): 60.00 60.00 60.00
Last column: magnetic moment on the atom in μB.
Fractional positions:
Pr 0.7500 0.7500 0.7500  -0.05
Mg 0.0000 0.0000 0.0000  0.01
Gd 0.5000 0.5000 0.5000  -7.22
La 0.2500 0.2500 0.2500  -0.06

Calculated values
As for the space group: F-43m, No. 216. Its energy of formation is 0.0 eV per formula unit. As for the density of states at the Fermi level: 1.477 states/eV/atom. The total energy comes out at -6.33 eV/atom.

Entry 12:
Density functional theory data (PBE) for an optimized crystal structure of CeAg2Pb.

a b c (Å): 4.5355 4.6828 4.6828
angles (deg): 90.00 90.00 90.00
Last column: magnetic moment on the atom in μB.
Fractional positions:
Pb 0.5000 0.0000 0.0000  0.01
Ag 0.0000 0.0000 0.5000  0.01
Ag 0.0000 0.5000 0.0000  0.01
Ce 0.5000 0.5000 0.5000  0.85

Calculated values
As for the space group: P4/mmm, No. 123. Its energy of formation is -0.4 eV per formula unit. As for the density of states at the Fermi level: 2.092 states/eV/atom. The total energy comes out at -3.93 eV/atom.